# 1
# Tm3Sb2Se

An optimized crystal structure of Tm3Sb2Se (PBE, Alexandria).

Cell and atoms, written as POSCAR:
```
Tm3Sb2Se
1.0
6.1596 -4.1257 0.0000
6.1596 4.1257 0.0000
0.0000 0.0000 6.9407
Tm Sb Se
6 4 2
direct
0.0722 0.9278 0.7500 Tm
0.3271 0.3271 0.0000 Tm
0.3271 0.3271 0.5000 Tm
0.6729 0.6729 0.0000 Tm
0.6729 0.6729 0.5000 Tm
0.9278 0.0722 0.2500 Tm
0.0236 0.6444 0.2500 Sb
0.3556 0.9764 0.2500 Sb
0.6444 0.0236 0.7500 Sb
0.9764 0.3556 0.7500 Sb
0.4075 0.5925 0.7500 Se
0.5925 0.4075 0.2500 Se
```

Output
For the energy above the most stable polymorph in this dataset, the calculation gives 1.558 eV per formula unit. Its space-group type is Cmcm, No. 63. The calculation puts the energy relative to the elements, uncorrected at -1.021 eV/atom.



# 2
# TmSbSe3

An optimized crystal structure of TmSbSe3 (PBE, Alexandria).

Cell and atoms, written as POSCAR:
```
TmSbSe3
1.0
6.9178 0.0000 0.0000
-3.4589 5.9910 0.0000
0.0000 0.0000 7.0260
Tm Sb Se
2 2 6
direct
0.0000 0.0000 0.0000 Tm
0.0000 0.0000 0.5000 Tm
0.3333 0.6667 0.0000 Sb
0.3333 0.6667 0.5000 Sb
0.0008 0.3267 0.2500 Se
0.0008 0.6741 0.7500 Se
0.3259 0.3267 0.7500 Se
0.3259 0.9992 0.2500 Se
0.6733 0.6741 0.2500 Se
0.6733 0.9992 0.7500 Se
```

Output
For the energy above the most stable polymorph in this dataset, the calculation gives 0.591 eV per formula unit. Its space-group type is P-6c2, No. 188. The calculation puts the energy relative to the elements, uncorrected at -0.932 eV/atom.



# 3
# Tm6Sb2Se

An optimized crystal structure of Tm6Sb2Se (PBE, Alexandria).

Cell and atoms, written as POSCAR:
```
Tm6Sb2Se
1.0
6.4362 0.0000 0.0000
0.0000 7.8112 0.0000
-6.1962 0.0000 9.8357
Tm Sb Se
12 4 2
direct
0.0877 0.1935 0.4508 Tm
0.0877 0.3065 0.9508 Tm
0.3091 0.6686 0.4495 Tm
0.3091 0.8314 0.9495 Tm
0.3695 0.0273 0.2295 Tm
0.3695 0.4727 0.7295 Tm
0.6305 0.5273 0.2705 Tm
0.6305 0.9727 0.7705 Tm
0.6909 0.1686 0.0505 Tm
0.6909 0.3314 0.5505 Tm
0.9123 0.6935 0.0492 Tm
0.9123 0.8065 0.5492 Tm
0.1624 0.1212 0.7422 Sb
0.1624 0.3788 0.2422 Sb
0.8376 0.6212 0.7578 Sb
0.8376 0.8788 0.2578 Sb
0.5000 0.0000 0.5000 Se
0.5000 0.5000 0.0000 Se
```

Output
Its space-group type is P2_1/c, No. 14. The calculation puts the energy relative to the elements, uncorrected at -0.831 eV/atom.



# 4
# Tm4Sb3Se

An optimized crystal structure of Tm4Sb3Se (PBE, Alexandria).

Cell and atoms, written as POSCAR:
```
Tm4Sb3Se
1.0
6.0420 0.0000 0.0000
0.0000 6.0420 0.0000
0.0000 0.0000 12.0451
Tm Sb Se
8 6 2
direct
0.0000 0.0000 0.2456 Tm
0.0000 0.0000 0.7544 Tm
0.0000 0.5000 0.0000 Tm
0.0000 0.5000 0.5000 Tm
0.5000 0.0000 0.0000 Tm
0.5000 0.0000 0.5000 Tm
0.5000 0.5000 0.2544 Tm
0.5000 0.5000 0.7456 Tm
0.0000 0.0000 0.5000 Sb
0.0000 0.5000 0.2500 Sb
0.0000 0.5000 0.7500 Sb
0.5000 0.0000 0.2500 Sb
0.5000 0.0000 0.7500 Sb
0.5000 0.5000 0.0000 Sb
0.0000 0.0000 0.0000 Se
0.5000 0.5000 0.5000 Se
```

Output
For the energy above the most stable polymorph in this dataset, the calculation gives 0.017 eV per formula unit. Its space-group type is I4/mmm, No. 139. The calculation puts the energy relative to the elements, uncorrected at -1.227 eV/atom.



# 5
# Tm5SbSe5

An optimized crystal structure of Tm5SbSe5 (PBE, Alexandria).

Cell and atoms, written as POSCAR:
```
Tm5SbSe5
1.0
6.4105 -2.8946 0.0000
6.4105 2.8946 0.0000
-2.5582 0.0000 7.7355
Tm Sb Se
5 1 5
direct
0.0000 0.0000 0.0000 Tm
0.3316 0.3316 0.6562 Tm
0.3334 0.3334 0.1781 Tm
0.6666 0.6666 0.8219 Tm
0.6684 0.6684 0.3438 Tm
0.5000 0.5000 0.0000 Sb
0.1637 0.1637 0.3348 Se
0.1704 0.1704 0.8371 Se
0.5000 0.5000 0.5000 Se
0.8296 0.8296 0.1629 Se
0.8363 0.8363 0.6652 Se
```

Output
Its space-group type is C2/m, No. 12. The calculation puts the energy relative to the elements, uncorrected at -1.660 eV/atom.



# 6
# Tm4Sb3Se

An optimized crystal structure of Tm4Sb3Se (PBE, Alexandria).

Cell and atoms, written as POSCAR:
```
Tm4Sb3Se
1.0
8.5337 0.0000 0.0000
0.0000 12.0523 0.0000
0.0000 0.0000 4.2693
Tm Sb Se
8 6 2
direct
0.0000 0.2472 0.0000 Tm
0.0000 0.7528 0.0000 Tm
0.2460 0.0000 0.5000 Tm
0.2540 0.5000 0.5000 Tm
0.5000 0.2528 0.0000 Tm
0.5000 0.7472 0.0000 Tm
0.7460 0.5000 0.5000 Tm
0.7540 0.0000 0.5000 Tm
0.0000 0.5000 0.0000 Sb
0.2500 0.2500 0.5000 Sb
0.2500 0.7500 0.5000 Sb
0.5000 0.0000 0.0000 Sb
0.7500 0.2500 0.5000 Sb
0.7500 0.7500 0.5000 Sb
0.0000 0.0000 0.0000 Se
0.5000 0.5000 0.0000 Se
```

Output
For the energy above the most stable polymorph in this dataset, the calculation gives 0.000 eV per formula unit. Its space-group type is Cmmm, No. 65. The calculation puts the energy relative to the elements, uncorrected at -1.229 eV/atom.



# 7
# Tm3Sb5Se12

An optimized crystal structure of Tm3Sb5Se12 (PBE, Alexandria).

Cell and atoms, written as POSCAR:
```
Tm3Sb5Se12
1.0
-8.4186 8.4186 8.4186
8.4186 -8.4186 8.4186
8.4186 8.4186 -8.4186
Tm Sb Se
12 20 48
direct
0.1250 0.2500 0.3750 Tm
0.1250 0.3750 0.7500 Tm
0.2500 0.3750 0.1250 Tm
0.2500 0.8750 0.6250 Tm
0.3750 0.1250 0.2500 Tm
0.3750 0.7500 0.1250 Tm
0.6250 0.2500 0.8750 Tm
0.6250 0.8750 0.7500 Tm
0.7500 0.1250 0.3750 Tm
0.7500 0.6250 0.8750 Tm
0.8750 0.6250 0.2500 Tm
0.8750 0.7500 0.6250 Tm
0.0000 0.0000 0.0000 Sb
0.0000 0.0000 0.5000 Sb
0.0000 0.5000 0.0000 Sb
0.0000 0.5000 0.5000 Sb
0.1250 0.7500 0.8750 Sb
0.1250 0.8750 0.2500 Sb
0.2500 0.1250 0.8750 Sb
0.2500 0.6250 0.3750 Sb
0.3750 0.2500 0.6250 Sb
0.3750 0.6250 0.7500 Sb
0.5000 0.0000 0.0000 Sb
0.5000 0.0000 0.5000 Sb
0.5000 0.5000 0.0000 Sb
0.5000 0.5000 0.5000 Sb
0.6250 0.3750 0.2500 Sb
0.6250 0.7500 0.3750 Sb
0.7500 0.3750 0.6250 Sb
0.7500 0.8750 0.1250 Sb
0.8750 0.1250 0.7500 Sb
0.8750 0.2500 0.1250 Sb
0.0562 0.2244 0.1408 Se
0.0562 0.3318 0.9154 Se
0.0836 0.7244 0.6682 Se
0.0836 0.8592 0.4154 Se
0.0846 0.6408 0.4164 Se
0.0846 0.9438 0.6682 Se
0.1408 0.0562 0.2244 Se
0.1408 0.5846 0.9164 Se
0.1682 0.2244 0.5836 Se
0.1682 0.4438 0.5846 Se
0.2244 0.1408 0.0562 Se
0.2244 0.5836 0.1682 Se
0.2756 0.3318 0.9164 Se
0.2756 0.4438 0.3592 Se
0.3318 0.9154 0.0562 Se
0.3318 0.9164 0.2756 Se
0.3592 0.2756 0.4438 Se
0.3592 0.5836 0.9154 Se
0.4154 0.0836 0.8592 Se
0.4154 0.8318 0.5562 Se
0.4164 0.0846 0.6408 Se
0.4164 0.8318 0.7756 Se
0.4438 0.3592 0.2756 Se
0.4438 0.5846 0.1682 Se
0.5562 0.4154 0.8318 Se
0.5562 0.6408 0.7244 Se
0.5836 0.1682 0.2244 Se
0.5836 0.9154 0.3592 Se
0.5846 0.1682 0.4438 Se
0.5846 0.9164 0.1408 Se
0.6408 0.4164 0.0846 Se
0.6408 0.7244 0.5562 Se
0.6682 0.0836 0.7244 Se
0.6682 0.0846 0.9438 Se
0.7244 0.5562 0.6408 Se
0.7244 0.6682 0.0836 Se
0.7756 0.4164 0.8318 Se
0.7756 0.8592 0.9438 Se
0.8318 0.5562 0.4154 Se
0.8318 0.7756 0.4164 Se
0.8592 0.4154 0.0836 Se
0.8592 0.9438 0.7756 Se
0.9154 0.0562 0.3318 Se
0.9154 0.3592 0.5836 Se
0.9164 0.1408 0.5846 Se
0.9164 0.2756 0.3318 Se
0.9438 0.6682 0.0846 Se
0.9438 0.7756 0.8592 Se
```

Output
Its space-group type is Ia-3d, No. 230. The calculation puts the energy relative to the elements, uncorrected at -0.636 eV/atom.



# 8
# Tm8Sb2Se

An optimized crystal structure of Tm8Sb2Se (PBE, Alexandria).

Cell and atoms, written as POSCAR:
```
Tm8Sb2Se
1.0
8.7499 -1.9689 0.0000
8.7499 1.9689 0.0000
-0.9610 0.0000 8.9775
Tm Sb Se
8 2 1
direct
0.0141 0.0141 0.2313 Tm
0.2099 0.2099 0.3544 Tm
0.3391 0.3391 0.9706 Tm
0.4073 0.4073 0.4599 Tm
0.5927 0.5927 0.5401 Tm
0.6609 0.6609 0.0294 Tm
0.7901 0.7901 0.6456 Tm
0.9859 0.9859 0.7687 Tm
0.1744 0.1744 0.7775 Sb
0.8256 0.8256 0.2225 Sb
0.5000 0.5000 0.0000 Se
```

Output
Its space-group type is C2/m, No. 12. The calculation puts the energy relative to the elements, uncorrected at -0.668 eV/atom.



# 9
# Tm3SbSe2

An optimized crystal structure of Tm3SbSe2 (PBE, Alexandria).

Cell and atoms, written as POSCAR:
```
Tm3SbSe2
1.0
-3.6462 5.1941 4.7443
3.6462 -5.1941 4.7443
3.6462 5.1941 -4.7443
Tm Sb Se
6 2 4
direct
0.0000 0.2262 0.2262 Tm
0.0000 0.7738 0.7738 Tm
0.5000 0.0000 0.0000 Tm
0.5000 0.2262 0.7262 Tm
0.5000 0.5000 0.5000 Tm
0.5000 0.7738 0.2738 Tm
0.2217 0.9717 0.2500 Sb
0.7783 0.0283 0.7500 Sb
0.2434 0.7014 0.5420 Se
0.3406 0.2986 0.0420 Se
0.6594 0.7014 0.9580 Se
0.7566 0.2986 0.4580 Se
```

Output
For the energy above the most stable polymorph in this dataset, the calculation gives 1.994 eV per formula unit. Its space-group type is Imma, No. 74. The calculation puts the energy relative to the elements, uncorrected at -1.133 eV/atom.



# 10
# Tm4SbSe2

An optimized crystal structure of Tm4SbSe2 (PBE, Alexandria).

Cell and atoms, written as POSCAR:
```
Tm4SbSe2
1.0
-4.3959 4.3959 4.3010
4.3959 -4.3959 4.3010
4.3959 4.3959 -4.3010
Tm Sb Se
8 2 4
direct
0.1120 0.5038 0.7401 Tm
0.1218 0.0137 0.7599 Tm
0.2538 0.3620 0.2401 Tm
0.4962 0.2363 0.6081 Tm
0.6282 0.8880 0.3919 Tm
0.6380 0.8782 0.8919 Tm
0.7637 0.3718 0.2599 Tm
0.9863 0.7462 0.1081 Tm
0.2500 0.7500 0.5000 Sb
0.5000 0.5000 0.0000 Sb
0.0006 0.1250 0.3756 Se
0.3750 0.9994 0.1244 Se
0.7494 0.6250 0.6244 Se
0.8750 0.2506 0.8756 Se
```

Output
For the energy above the most stable polymorph in this dataset, the calculation gives 0.000 eV per formula unit. Its space-group type is I-42d, No. 122. The calculation puts the energy relative to the elements, uncorrected at -1.126 eV/atom.



# 11
# Tm3SbSe

An optimized crystal structure of Tm3SbSe (PBE, Alexandria).

Cell and atoms, written as POSCAR:
```
Tm3SbSe
1.0
8.7092 0.0000 0.0000
0.0000 6.4616 0.0000
-3.5992 0.0000 9.6811
Tm Sb Se
12 4 4
direct
0.0382 0.1146 0.3177 Tm
0.0382 0.3854 0.8177 Tm
0.1901 0.5817 0.5298 Tm
0.1901 0.9183 0.0298 Tm
0.4132 0.1834 0.8538 Tm
0.4132 0.3166 0.3538 Tm
0.5868 0.6834 0.6462 Tm
0.5868 0.8166 0.1462 Tm
0.8099 0.0817 0.9702 Tm
0.8099 0.4183 0.4702 Tm
0.9618 0.6146 0.1823 Tm
0.9618 0.8854 0.6823 Tm
0.3447 0.6830 0.8396 Sb
0.3447 0.8170 0.3396 Sb
0.6553 0.1830 0.6604 Sb
0.6553 0.3170 0.1604 Sb
0.1210 0.1997 0.6020 Se
0.1210 0.3003 0.1020 Se
0.8790 0.6997 0.8980 Se
0.8790 0.8003 0.3980 Se
```

Output
Its space-group type is P2_1/c, No. 14. The calculation puts the energy relative to the elements, uncorrected at -0.922 eV/atom.



# 12
# USb2Se6

An optimized crystal structure of USb2Se6 (PBE, Alexandria).

Cell and atoms, written as POSCAR:
```
USb2Se6
1.0
7.5192 -2.0321 0.0000
7.5192 2.0321 0.0000
-3.4754 0.0000 9.7437
U Sb Se
1 2 6
direct
0.0000 0.0000 0.0000 U
0.1438 0.1438 0.3496 Sb
0.8562 0.8562 0.6504 Sb
0.0475 0.0475 0.7754 Se
0.3679 0.3679 0.4854 Se
0.3696 0.3696 0.9074 Se
0.6304 0.6304 0.0926 Se
0.6321 0.6321 0.5146 Se
0.9525 0.9525 0.2246 Se
```

Output
For the energy above the most stable polymorph in this dataset, the calculation gives 0.596 eV per formula unit. Its space-group type is C2/m, No. 12. The calculation puts the energy relative to the elements, uncorrected at -0.455 eV/atom.



# 13
# USbSe2

An optimized crystal structure of USbSe2 (PBE, Alexandria).

Cell and atoms, written as POSCAR:
```
USbSe2
1.0
3.7994 0.0000 0.0000
-1.8997 3.2904 0.0000
0.0000 0.0000 27.7739
U Sb Se
3 3 6
direct
0.0000 0.0000 0.0000 U
0.3333 0.6667 0.6667 U
0.6667 0.3333 0.3333 U
0.0000 0.0000 0.5000 Sb
0.3333 0.6667 0.1667 Sb
0.6667 0.3333 0.8333 Sb
0.0000 0.0000 0.1011 Se
0.0000 0.0000 0.8989 Se
0.3333 0.6667 0.5655 Se
0.3333 0.6667 0.7678 Se
0.6667 0.3333 0.2322 Se
0.6667 0.3333 0.4345 Se
```

Output
Its space-group type is R-3m, No. 166. The calculation puts the energy relative to the elements, uncorrected at 0.154 eV/atom.



# 14
# USb2Se6

An optimized crystal structure of USb2Se6 (PBE, Alexandria).

Cell and atoms, written as POSCAR:
```
USb2Se6
1.0
8.9741 -2.0421 0.0000
8.9741 2.0421 0.0000
-1.8368 0.0000 8.0948
U Sb Se
1 2 6
direct
0.0000 0.0000 0.0000 U
0.3309 0.3309 0.6467 Sb
0.6691 0.6691 0.3533 Sb
0.1518 0.1518 0.0909 Se
0.1743 0.1743 0.5914 Se
0.4967 0.4967 0.2205 Se
0.5033 0.5033 0.7795 Se
0.8257 0.8257 0.4086 Se
0.8482 0.8482 0.9091 Se
```

Output
For the energy above the most stable polymorph in this dataset, the calculation gives 0.000 eV per formula unit. Its space-group type is C2/m, No. 12. The calculation puts the energy relative to the elements, uncorrected at -0.521 eV/atom.



# 15
# U6SbSe12

An optimized crystal structure of U6SbSe12 (PBE, Alexandria).

Cell and atoms, written as POSCAR:
```
U6SbSe12
1.0
6.3544 3.6687 3.8484
-6.3544 3.6687 3.8484
0.0000 -7.3375 3.8484
U Sb Se
6 1 12
direct
0.1250 0.6336 0.8081 U
0.1919 0.8750 0.3664 U
0.3664 0.1919 0.8750 U
0.6336 0.8081 0.1250 U
0.8081 0.1250 0.6336 U
0.8750 0.3664 0.1919 U
0.5000 0.5000 0.5000 Sb
0.0726 0.9260 0.6771 Se
0.0740 0.3229 0.9274 Se
0.1722 0.5483 0.4417 Se
0.3229 0.9274 0.0740 Se
0.4417 0.1722 0.5483 Se
0.4517 0.5583 0.8278 Se
0.5483 0.4417 0.1722 Se
0.5583 0.8278 0.4517 Se
0.6771 0.0726 0.9260 Se
0.8278 0.4517 0.5583 Se
0.9260 0.6771 0.0726 Se
0.9274 0.0740 0.3229 Se
```

Output
Its space-group type is R-3, No. 148. The calculation puts the energy relative to the elements, uncorrected at -0.976 eV/atom.



# 16
# U2SbSe2

An optimized crystal structure of U2SbSe2 (PBE, Alexandria).

Cell and atoms, written as POSCAR:
```
U2SbSe2
1.0
2.8253 0.0000 0.0000
0.0000 2.8253 0.0000
0.0000 0.0000 16.5576
U Sb Se
2 1 2
direct
0.0000 0.0000 0.1935 U
0.0000 0.0000 0.8065 U
0.0000 0.0000 0.0000 Sb
0.0000 0.0000 0.3674 Se
0.0000 0.0000 0.6326 Se
```

Output
Its space-group type is P4/mmm, No. 123. The calculation puts the energy relative to the elements, uncorrected at 0.371 eV/atom.



# 17
# U2SbSe5

An optimized crystal structure of U2SbSe5 (PBE, Alexandria).

Cell and atoms, written as POSCAR:
```
U2SbSe5
1.0
8.1053 0.0000 0.0000
0.0000 12.3715 0.0000
0.0000 0.0000 3.9881
U Sb Se
4 2 10
direct
0.0249 0.1757 0.0000 U
0.4751 0.6757 0.0000 U
0.5249 0.3243 0.0000 U
0.9751 0.8243 0.0000 U
0.0000 0.5000 0.5000 Sb
0.5000 0.0000 0.5000 Sb
0.0000 0.0000 0.5000 Se
0.1726 0.3895 0.0000 Se
0.1825 0.6978 0.5000 Se
0.3175 0.1978 0.5000 Se
0.3274 0.8895 0.0000 Se
0.5000 0.5000 0.5000 Se
0.6726 0.1105 0.0000 Se
0.6825 0.8022 0.5000 Se
0.8175 0.3022 0.5000 Se
0.8274 0.6105 0.0000 Se
```

Output
Its space-group type is Pbam, No. 55. The calculation puts the energy relative to the elements, uncorrected at -0.833 eV/atom.



# 18
# VSb3Se

An optimized crystal structure of VSb3Se (PBE, Alexandria).

Cell and atoms, written as POSCAR:
```
VSb3Se
1.0
5.3577 0.0000 0.0000
0.0000 5.3577 0.0000
0.0000 0.0000 5.3577
V Sb Se
1 3 1
direct
0.0000 0.0000 0.0000 V
0.0000 0.5000 0.5000 Sb
0.5000 0.0000 0.5000 Sb
0.5000 0.5000 0.0000 Sb
0.5000 0.5000 0.5000 Se
```

Output
For the energy above the most stable polymorph in this dataset, the calculation gives 3.700 eV per formula unit. Its space-group type is Pm-3m, No. 221. The calculation puts the energy relative to the elements, uncorrected at 0.980 eV/atom.